Record 1
The following is a DFT calculation (PBE) of an optimized crystal structure of ScCo2Ru.

```
ScCo2Ru
1.0
3.1308 0.0000 0.0000
0.0000 4.1833 0.0000
0.0000 0.0000 4.2352
Sc Co Ru
1 2 1
Direct
0.0000 0.0000 0.0000 Sc
0.0000 0.5000 0.5000 Co
0.5000 0.0000 0.5000 Co
0.5000 0.5000 0.0000 Ru
```

Summary:
- Density: 7.90 Mg/m³
- Size of the total moment: 3.572 μB/f.u.
- Polymorph energy (0 for the lowest one): 19.8 meV/atom
- SG: No. 47

---

Record 2
The following is a DFT calculation (PBE) of an optimized crystal structure of K2BaCr.

```
K2BaCr
1.0
6.5548 -2.2396 0.0000
6.5548 2.2396 0.0000
-3.4886 0.0000 7.3811
K Ba Cr
2 1 1
Direct
0.0000 0.0000 0.0000 K
0.1980 0.1980 0.7429 K
0.8222 0.8222 0.3585 Ba
0.5367 0.5367 0.3689 Cr
```

Summary:
- Density: 2.05 Mg/m³
- Size of the total moment: 5.185 μB/f.u.
- Polymorph energy (0 for the lowest one): 83.8 meV/atom
- SG: No. 8

---

Record 3
The following is a DFT calculation (PBE) of an optimized crystal structure of ZrHg2Br.

```
ZrHg2Br
1.0
3.4626 0.0000 0.0000
0.0000 3.4626 0.0000
0.0000 0.0000 8.1455
Zr Hg Br
1 2 1
Direct
0.0000 0.0000 0.0000 Zr
0.5000 0.5000 0.2299 Hg
0.5000 0.5000 0.7701 Hg
0.0000 0.0000 0.5000 Br
```

Summary:
- Raw formation energy: -0.028 eV/atom
- Density: 9.73 Mg/m³
- Size of the total moment: 0.044 μB/f.u.
- Polymorph energy (0 for the lowest one): 357.5 meV/atom
- SG: No. 123

---

Record 4
The following is a DFT calculation (PBE) of an optimized crystal structure of LiMgNbRu.

```
LiMgNbRu
1.0
0.0000 3.1514 3.1514
3.1514 0.0000 3.1514
3.1514 3.1514 0.0000
Li Mg Nb Ru
1 1 1 1
Direct
0.0000 0.0000 0.0000 Li
0.7500 0.7500 0.7500 Mg
0.2500 0.2500 0.2500 Nb
0.5000 0.5000 0.5000 Ru
```

Summary:
- Density: 5.97 Mg/m³
- Uncorrected energy: -5.74 eV/atom
- Size of the total moment: 0.000 μB/f.u.
- SG: No. 216

---

Record 5
The following is a DFT calculation (PBE) of an optimized crystal structure of LiZn2Ga2Pd2.

```
LiZn2Ga2Pd2
1.0
3.7648 -2.1686 0.0000
3.7648 2.1686 0.0000
-2.4096 0.0000 6.6599
Li Zn Ga Pd
1 2 2 2
Direct
0.0000 0.0000 0.0000 Li
0.1328 0.1328 0.3996 Zn
0.8672 0.8672 0.6004 Zn
0.3991 0.3991 0.1931 Ga
0.6009 0.6009 0.8069 Ga
0.2617 0.2617 0.7888 Pd
0.7383 0.7383 0.2112 Pd
```

Summary:
- Density: 7.48 Mg/m³
- Uncorrected energy: -3.45 eV/atom
- Size of the total moment: 0.000 μB/f.u.
- SG: No. 12

---

Record 6
The following is a DFT calculation (PBE) of an optimized crystal structure of Ca2TlTeRh.

```
Ca2TlTeRh
1.0
5.4127 0.0000 0.0000
0.0000 5.4127 0.0000
0.0000 0.0000 5.1802
Ca Tl Te Rh
2 1 1 1
Direct
0.0000 0.5000 0.0000 Ca
0.5000 0.0000 0.0000 Ca
0.0000 0.0000 0.5000 Tl
0.5000 0.5000 0.5000 Te
0.0000 0.0000 0.0000 Rh
```

Summary:
- Raw formation energy: -0.599 eV/atom
- Density: 5.64 Mg/m³
- Size of the total moment: 0.000 μB/f.u.
- SG: No. 123

---

Record 7
The following is a DFT calculation (PBE) of an optimized crystal structure of Mg2TaZn.

```
Mg2TaZn
1.0
1.4845 0.8571 9.8136
-1.4845 0.8571 9.8136
0.0000 -1.7142 9.8136
Mg Ta Zn
2 1 1
Direct
0.2470 0.2470 0.2470 Mg
0.7530 0.7530 0.7530 Mg
0.0000 0.0000 0.0000 Ta
0.5000 0.5000 0.5000 Zn
```

Summary:
- Density: 6.54 Mg/m³
- Uncorrected energy: -3.89 eV/atom
- Size of the total moment: 0.002 μB/f.u.
- SG: No. 166

---

Record 8
The following is a DFT calculation (PBE) of an optimized crystal structure of ThPaTe2C.

```
ThPaTe2C
1.0
4.2338 0.0000 0.0000
0.0000 4.2338 0.0000
0.0000 0.0000 14.8043
Th Pa Te C
2 2 4 2
Direct
0.2500 0.2500 0.0927 Th
0.7500 0.7500 0.9073 Th
0.2500 0.2500 0.5717 Pa
0.7500 0.7500 0.4283 Pa
0.2500 0.2500 0.3083 Te
0.2500 0.2500 0.8654 Te
0.7500 0.7500 0.1346 Te
0.7500 0.7500 0.6917 Te
0.2500 0.7500 0.5000 C
0.7500 0.2500 0.5000 C
```

Summary:
- Raw formation energy: -0.784 eV/atom
- Density: 9.14 Mg/m³
- Size of the total moment: 0.000 μB/f.u.
- SG: No. 129

---

Record 9
The following is a DFT calculation (PBE) of an optimized crystal structure of MgZnOsPb2.

```
MgZnOsPb2
1.0
5.2521 0.0000 0.0000
0.0000 5.2521 0.0000
0.0000 0.0000 4.7848
Mg Zn Os Pb
1 1 1 2
Direct
0.0000 0.0000 0.0000 Mg
0.5000 0.5000 0.5000 Zn
0.5000 0.5000 0.0000 Os
0.0000 0.5000 0.5000 Pb
0.5000 0.0000 0.5000 Pb
```

Summary:
- Density: 8.74 Mg/m³
- Uncorrected energy: -3.28 eV/atom
- Size of the total moment: 1.012 μB/f.u.
- SG: No. 123

---

Record 10
The following is a DFT calculation (PBE) of an optimized crystal structure of YTa2Tc.

```
YTa2Tc
1.0
1.5711 0.9071 9.3854
-1.5711 0.9071 9.3854
0.0000 -1.8142 9.3854
Y Ta Tc
1 2 1
Direct
0.0000 0.0000 0.0000 Y
0.2364 0.2364 0.2364 Ta
0.7636 0.7636 0.7636 Ta
0.5000 0.5000 0.5000 Tc
```

Summary:
- Density: 11.36 Mg/m³
- Size of the total moment: 0.000 μB/f.u.
- Polymorph energy (0 for the lowest one): 251.9 meV/atom
- SG: No. 166

---

Record 11
The following is a DFT calculation (PBE) of an optimized crystal structure of AlH6W.

```
AlH6W
1.0
3.1886 -3.5591 0.0000
3.1886 3.5591 0.0000
-3.0671 0.0000 5.1965
Al H W
2 12 2
Direct
0.1779 0.8221 0.7500 Al
0.8221 0.1779 0.2500 Al
0.1400 0.2065 0.8185 H
0.2065 0.1400 0.3185 H
0.2351 0.7425 0.0171 H
0.2530 0.4042 0.1572 H
0.2575 0.7649 0.4829 H
0.4042 0.2530 0.6572 H
0.5958 0.7470 0.3428 H
0.7425 0.2351 0.5171 H
0.7470 0.5958 0.8428 H
0.7649 0.2575 0.9829 H
0.7935 0.8600 0.6815 H
0.8600 0.7935 0.1815 H
0.5000 0.5000 0.0000 W
0.5000 0.5000 0.5000 W
```

Summary:
- Density: 6.11 Mg/m³
- Uncorrected energy: -4.47 eV/atom
- Size of the total moment: 0.000 μB/f.u.
- SG: No. 15

---

Record 12
The following is a DFT calculation (PBE) of an optimized crystal structure of PaMn2GaSi.

```
PaMn2GaSi
1.0
2.7908 -5.2390 0.0000
2.7908 5.2390 0.0000
0.0000 0.0000 5.5750
Pa Mn Ga Si
2 4 2 2
Direct
0.2504 0.7496 0.7500 Pa
0.7496 0.2504 0.2500 Pa
0.2425 0.2425 0.0000 Mn
0.2425 0.2425 0.5000 Mn
0.7575 0.7575 0.0000 Mn
0.7575 0.7575 0.5000 Mn
0.3660 0.6340 0.2500 Ga
0.6340 0.3660 0.7500 Ga
0.1298 0.8702 0.2500 Si
0.8702 0.1298 0.7500 Si
```

Summary:
- Raw formation energy: -0.341 eV/atom
- Density: 8.94 Mg/m³
- Size of the total moment: 3.792 μB/f.u.
- SG: No. 63

---

| no. | Fermi-level density of states (states/eV per atom) |
| --- | --- |
| 1 | 0.97 |
| 2 | 0.85 |
| 3 | 1.07 |
| 4 | 0.95 |
| 5 | 0.37 |
| 6 | 0.19 |
| 7 | 0.85 |
| 8 | 0.72 |
| 9 | 1.10 |
| 10 | 1.09 |
| 11 | 0.23 |
| 12 | 0.68 |